[1]
A plane-wave DFT calculation with PBE was carried out for YOs2Pb after structural relaxation.

## Properties
Magnetic moment: 0.0 μB/f.u.
Total DFT energy (no corrections): -7.70 eV/atom
Space-group type: P2/m
D(E_F): 0.613 states/eV/atom
Energy relative to the elements: 0.457 eV/atom
Volume: 87.08 Å³ per cell

Lattice parameters (Å, degrees): 4.534 3.223 5.959 90.13 90.00 90.00
Fractional positions:
Pb  0.500  0.250  0.250
Os  0.000  0.248  0.555
Os  0.000  0.252  0.945
Y  0.500  0.750  0.750

[2]
A plane-wave DFT calculation with PBE was carried out for YOs2Pb after structural relaxation.

## Properties
Magnetic moment: 0.0 μB/f.u.
Total DFT energy (no corrections): -7.35 eV/atom
Space-group type: R-3m
D(E_F): 1.077 states/eV/atom
Energy relative to the elements: 0.803 eV/atom
Volume: 80.01 Å³ per cell

Lattice parameters (Å, degrees): 9.009 9.009 9.009 20.70 20.70 20.70
Fractional positions:
Os  0.999  0.999  0.999
Os  0.501  0.501  0.501
Y  0.750  0.750  0.750
Pb  0.250  0.250  0.250

[3]
A plane-wave DFT calculation with PBE was carried out for YOs2Pb after structural relaxation.

## Properties
Magnetic moment: 0.0 μB/f.u.
Total DFT energy (no corrections): -7.51 eV/atom
Space-group type: C2/m
D(E_F): 0.864 states/eV/atom
Energy relative to the elements: 0.649 eV/atom
Volume: 77.17 Å³ per cell

Lattice parameters (Å, degrees): 5.576 5.576 3.055 75.36 75.36 113.68
Fractional positions:
Os  0.000  0.000  0.000
Os  0.500  0.500  0.000
Pb  0.500  0.000  0.500
Y  0.000  0.500  0.500

[4]
A plane-wave DFT calculation with PBE was carried out for YOs2Pb after structural relaxation.

## Properties
Magnetic moment: 0.0 μB/f.u.
Total DFT energy (no corrections): -7.10 eV/atom
Space-group type: I-42d
D(E_F): 1.094 states/eV/atom
Energy relative to the elements: 1.062 eV/atom
Volume: 171.58 Å³ per cell

Lattice parameters (Å, degrees): 7.699 7.699 6.166 51.36 51.36 90.00
Fractional positions:
Os  0.875  0.894  0.750
Os  0.106  0.625  0.250
Os  0.644  0.125  0.250
Os  0.375  0.356  0.750
Y  0.250  0.750  0.500
Y  0.500  0.500  0.000
Pb  0.750  0.250  0.500
Pb  0.000  0.000  0.000

[5]
A plane-wave DFT calculation with PBE was carried out for Y3OsPb after structural relaxation.

## Properties
Magnetic moment: 0.0 μB/f.u.
Total DFT energy (no corrections): -7.00 eV/atom
Space-group type: Pm-3m
D(E_F): 0.757 states/eV/atom
Energy relative to the elements: -0.138 eV/atom
Volume: 154.11 Å³ per cell

Lattice parameters (Å, degrees): 5.361 5.361 5.361 90.00 90.00 90.00
Fractional positions:
Y  0.500  0.000  0.000
Y  0.000  0.500  0.000
Y  0.000  0.000  0.500
Os  0.000  0.000  0.000
Pb  0.500  0.500  0.500

[6]
A plane-wave DFT calculation with PBE was carried out for Y4OsPb after structural relaxation.

## Properties
Magnetic moment: 0.0 μB/f.u.
Total DFT energy (no corrections): -6.10 eV/atom
Space-group type: F-43m
D(E_F): 1.406 states/eV/atom
Energy relative to the elements: 0.702 eV/atom
Volume: 156.38 Å³ per cell

Lattice parameters (Å, degrees): 6.047 6.047 6.047 60.00 60.00 60.00
Fractional positions:
Os  0.750  0.750  0.750
Y  0.377  0.377  0.870
Y  0.377  0.377  0.377
Y  0.377  0.870  0.377
Y  0.870  0.377  0.377
Pb  0.000  0.000  0.000